PBE CsNi2, optimized geometry; uncorrected energy = -18.94 eV per cell; M_tot = 0.959 μB per formula unit
1.0
0.0000 3.8844 3.8844
3.8844 0.0000 3.8844
3.8844 3.8844 0.0000
Cs Ni
2 4
Cartesian
0.9711 0.9711 0.9711
6.7977 6.7977 6.7977
3.8844 1.9422 1.9422
1.9422 3.8844 1.9422
1.9422 1.9422 3.8844
3.8844 3.8844 3.8844

PBE La2Sm2CI3Br2, optimized geometry; uncorrected energy = -49.25 eV per cell; M_tot = 0.342 μB per formula unit
1.0
9.5399 -2.0226 0.0000
9.5399 2.0226 0.0000
-2.0233 0.0000 8.4883
La Sm C I Br
2 2 1 3 2
Cartesian
2.5113 0.0000 0.6420
14.5452 0.0000 7.8464
9.1430 0.0000 1.6411
7.9135 0.0000 6.8473
0.0000 0.0000 0.0000
-1.0117 0.0000 4.2442
5.9309 0.0000 1.6524
11.1255 0.0000 6.8360
5.2245 0.0000 5.6092
11.8319 0.0000 2.8791

PBE CuH12PtC4N8, optimized geometry; uncorrected energy = -626.65 eV per cell; M_tot = 1.009 μB per formula unit
1.0
14.3509 0.0000 0.0000
0.0000 6.9607 0.0000
0.0000 0.0000 10.1643
Cu H Pt C N
4 48 4 16 32
Cartesian
2.8319 1.7402 1.4059
4.3436 5.2205 6.4881
10.0073 1.7402 3.6762
11.5191 5.2205 8.7584
0.9329 0.0000 1.2123
0.9329 3.4804 1.2123
1.2212 0.6852 9.8945
1.2212 2.7952 9.8945
2.2388 3.9864 0.3024
2.2388 6.4547 0.3024
2.3748 4.1446 7.7722
2.3748 6.2964 7.7722
3.1136 0.4651 6.8206
3.1136 3.0152 6.8206
3.4044 3.5511 3.2033
3.4044 6.8900 3.2033
3.7711 0.0707 8.2855
3.7711 3.4096 8.2855
4.0618 3.9455 1.7385
4.0618 6.4956 1.7385
4.8007 0.6643 2.6901
4.8007 2.8161 2.6901
4.9367 0.5060 5.3845
4.9367 2.9743 5.3845
5.9543 4.1655 4.8124
5.9543 6.2755 4.8124
6.2426 0.0000 6.2945
6.2426 3.4804 6.2945
8.1084 0.0000 3.8698
8.1084 3.4804 3.8698
8.3967 0.6852 5.3520
8.3967 2.7952 5.3520
9.4143 3.9864 4.7798
9.4143 6.4547 4.7798
9.5502 4.1446 7.4742
9.5502 6.2964 7.4742
10.2891 0.4651 8.4259
10.2891 3.0152 8.4259
10.5799 3.5511 1.8789
10.5799 6.8900 1.8789
10.9465 0.0707 6.9610
10.9465 3.4096 6.9610
11.2373 3.9455 3.3437
11.2373 6.4956 3.3437
11.9762 0.6643 2.3921
11.9762 2.8161 2.3921
12.1121 0.5060 9.8620
12.1121 2.9743 9.8620
13.1298 4.1655 0.2698
13.1298 6.2755 0.2698
13.4180 0.0000 8.9520
13.4180 3.4804 8.9520
0.1559 1.7402 5.2475
7.0196 5.2205 0.1653
7.3313 1.7402 9.9990
14.1951 5.2205 4.9169
0.2061 5.2205 6.8674
0.3803 1.7402 7.2133
1.7963 5.2205 4.6363
2.1240 1.7402 5.0500
5.0514 5.2205 10.1322
5.3792 1.7402 9.7185
6.7951 5.2205 2.1311
6.9694 1.7402 1.7852
7.3816 5.2205 8.3791
7.5558 1.7402 8.0332
8.9717 5.2205 0.4458
9.2995 1.7402 0.0321
12.2269 5.2205 5.1143
12.5547 1.7402 5.5280
13.9706 5.2205 2.9510
14.1448 1.7402 3.2970
0.4744 1.7402 8.3834
0.5638 5.2205 7.9879
1.6749 0.3085 0.5756
1.6749 3.1718 0.5756
2.9634 5.2205 4.4902
3.2909 3.7940 7.4625
3.2909 6.6471 7.4625
3.3000 1.7402 5.0653
3.8755 5.2205 10.1474
3.8845 0.3136 2.3804
3.8845 3.1667 2.3804
4.2121 1.7402 9.5723
5.5006 3.7889 5.6577
5.5006 6.6522 5.6577
6.6117 1.7402 2.9057
6.7011 5.2205 3.3012
7.6498 1.7402 6.8631
7.7393 5.2205 7.2586
8.8504 0.3085 4.5066
8.8504 3.1718 4.5066
10.1388 5.2205 0.5920
10.4664 3.7940 7.7840
10.4664 6.6471 7.7840
10.4755 1.7402 0.0169
11.0509 5.2205 5.0991
11.0600 0.3136 2.7018
11.0600 3.1667 2.7018
11.3876 1.7402 5.6742
12.6761 3.7889 9.5888
12.6761 6.6522 9.5888
13.7871 1.7402 2.1765
13.8766 5.2205 1.7809

PBE ThSnTe, optimized geometry; uncorrected energy = -15.51 eV per cell; M_tot = 0.038 μB per formula unit
1.0
0.0000 3.7440 3.7440
3.7440 0.0000 3.7440
3.7440 3.7440 0.0000
Th Sn Te
1 1 1
Cartesian
0.0000 0.0000 0.0000
5.6160 5.6160 5.6160
1.8720 1.8720 1.8720

PBE Gd2ErAl3CuNi2, optimized geometry; uncorrected energy = -44.83 eV per cell; M_tot = 0.009 μB per formula unit
1.0
3.9174 0.0000 0.0000
0.0000 6.0879 3.5067
0.0000 -6.0879 3.5067
Gd Er Al Cu Ni
2 1 3 1 2
Cartesian
0.0000 -3.5414 3.5067
0.0000 3.5414 3.5067
0.0000 0.0000 2.6140
1.9587 0.0000 0.2277
1.9587 -1.4522 4.6876
1.9587 1.4522 4.6876
0.0000 0.0000 5.5287
1.9587 -2.0013 2.0419
1.9587 2.0013 2.0419

PBE NaNbSO, optimized geometry; M_tot = 0.009 μB per formula unit; distance to the lowest polymorph of the same formula = 527.8 meV/atom
1.0
3.6126 0.0000 0.0000
0.0000 3.6126 0.0000
0.0000 0.0000 8.7115
Na Nb S O
2 2 2 2
Cartesian
0.9031 2.7094 0.0000
2.7094 0.9031 0.0000
0.9031 0.9031 3.1730
2.7094 2.7094 5.5385
0.9031 0.9031 6.7170
2.7094 2.7094 1.9945
0.9031 2.7094 4.3558
2.7094 0.9031 4.3558